# Ac4Co2Ir | Alexandria | PBE | optimized geometry
data_Ac4Co2Ir
_space_group_name_H-M_alt 'P 1'
_space_group_IT_number 1
_space_group_name_Hall 'P 1'
_cell_length_a 4.339
_cell_length_b 6.976
_cell_length_c 9.047
_cell_angle_alpha 124.81
_cell_angle_beta 90.00
_cell_angle_gamma 90.00
loop_
_atom_site_label
_atom_site_fract_x
_atom_site_fract_y
_atom_site_fract_z
Ac1 0.500 0.752 0.759
Ac2 0.000 0.228 0.751
Ac3 0.500 0.391 0.241
Ac4 0.000 0.915 0.249
Ir1 0.000 0.071 0.000
Co1 0.500 0.911 0.497
Co2 0.500 0.232 0.503
# Formation enthalpy at 0 K: -0.13 eV/atom

# LiTc2N | Alexandria | PBE | optimized geometry
data_LiTc2N
_space_group_name_H-M_alt 'P 1'
_space_group_IT_number 1
_space_group_name_Hall 'P 1'
_cell_length_a 6.854
_cell_length_b 6.854
_cell_length_c 5.268
_cell_angle_alpha 49.42
_cell_angle_beta 49.42
_cell_angle_gamma 90.00
loop_
_atom_site_label
_atom_site_fract_x
_atom_site_fract_y
_atom_site_fract_z
Li1 0.500 0.500 0.000
Li2 0.250 0.750 0.500
Tc1 0.732 0.125 0.250
Tc2 0.018 0.625 0.250
Tc3 0.375 0.268 0.750
Tc4 0.875 0.982 0.750
N1 0.000 0.000 0.000
N2 0.750 0.250 0.500
# Raw formation energy: 0.36 eV per formula unit

# LaGePbSe2 | Alexandria | PBE | optimized geometry
data_LaGePbSe2
_space_group_name_H-M_alt 'P 1'
_space_group_IT_number 1
_space_group_name_Hall 'P 1'
_cell_length_a 5.303
_cell_length_b 5.303
_cell_length_c 5.338
_cell_angle_alpha 90.00
_cell_angle_beta 90.00
_cell_angle_gamma 90.00
loop_
_atom_site_label
_atom_site_fract_x
_atom_site_fract_y
_atom_site_fract_z
Pb1 0.000 0.000 0.500
Ge1 0.000 0.000 0.000
Se1 0.000 0.500 0.000
Se2 0.500 0.000 0.000
La1 0.500 0.500 0.500
# Raw formation energy: -1.46 eV per formula unit

# Tm7In4Pb | Alexandria | PBE | optimized geometry
data_Tm7In4Pb
_space_group_name_H-M_alt 'P 1'
_space_group_IT_number 1
_space_group_name_Hall 'P 1'
_cell_length_a 5.677
_cell_length_b 9.243
_cell_length_c 7.662
_cell_angle_alpha 81.42
_cell_angle_beta 68.26
_cell_angle_gamma 72.12
loop_
_atom_site_label
_atom_site_fract_x
_atom_site_fract_y
_atom_site_fract_z
Tm1 0.785 0.869 0.561
Tm2 0.215 0.131 0.439
Tm3 0.072 0.676 0.181
Tm4 0.928 0.324 0.819
Tm5 0.344 0.589 0.723
Tm6 0.500 0.000 0.000
Tm7 0.656 0.411 0.277
In1 0.565 0.226 0.644
In2 0.435 0.774 0.356
In3 0.706 0.659 0.928
In4 0.294 0.341 0.072
Pb1 0.000 0.000 0.000
# Formation enthalpy at 0 K: -0.13 eV/atom

# LaYCdHg | Alexandria | PBE | optimized geometry
data_LaYCdHg
_space_group_name_H-M_alt 'P 1'
_space_group_IT_number 1
_space_group_name_Hall 'P 1'
_cell_length_a 5.429
_cell_length_b 5.429
_cell_length_c 5.429
_cell_angle_alpha 60.00
_cell_angle_beta 60.00
_cell_angle_gamma 60.00
loop_
_atom_site_label
_atom_site_fract_x
_atom_site_fract_y
_atom_site_fract_z
Y1 0.750 0.750 0.750
Cd1 0.000 0.000 0.000
Hg1 0.500 0.500 0.500
La1 0.250 0.250 0.250
# Formation enthalpy at 0 K: -0.40 eV/atom

# CrInPt6 | Alexandria | PBE | optimized geometry
data_CrInPt6
_space_group_name_H-M_alt 'P 1'
_space_group_IT_number 1
_space_group_name_Hall 'P 1'
_cell_length_a 3.973
_cell_length_b 3.973
_cell_length_c 8.006
_cell_angle_alpha 90.00
_cell_angle_beta 90.00
_cell_angle_gamma 90.00
loop_
_atom_site_label
_atom_site_fract_x
_atom_site_fract_y
_atom_site_fract_z
Cr1 0.000 0.000 0.500
In1 0.000 0.000 0.000
Pt1 0.500 0.500 0.000
Pt2 0.500 0.500 0.500
Pt3 0.500 0.000 0.263
Pt4 0.500 0.000 0.737
Pt5 0.000 0.500 0.263
Pt6 0.000 0.500 0.737
# Formation enthalpy at 0 K: -0.32 eV/atom